Entry from Alexandria via LeMat-Bulk: a relaxed SrCaCu17 crystal (GGA-PBE).

Values from the calculation:
- Total magnetic moment: 0.000 μB per atom
- DOS(E_F): 0.33 states/eV/atom
- ΔH_f (0 K): -0.052 eV/atom

Cell lengths 8.6456, 8.6456, 12.6196 Å; angles 90.00, 90.00, 120.00 degrees
With the nearest neighbours (Å) after each atom.
Space group R3m (No. 160, hexagonal axes)
One atom of each set of equivalent atoms:
Sr 0.0000 0.0000 0.0000  19 Cu 3.10-3.36
Ca 0.0000 0.0000 0.3152  19 Cu 3.07-3.33
Cu 0.0000 0.0000 0.5584  7 Cu 2.43-2.64
Cu 0.0000 0.0000 0.7509  7 Cu 2.43-2.68
Cu 0.0007 0.5003 0.1560  10 Cu 2.46-2.66
Cu 0.0045 0.5022 0.5007  9 Cu 2.49-2.68
Cu 0.0435 0.3754 0.3228  8 Cu 2.46-2.68
Cu 0.1705 0.3410 0.1461  9 Cu 2.47-2.68